No. 1
Here is a relaxed Ba2NaSiNi crystal from Alexandria via LeMat-Bulk. Energies are from PBE-GGA.

a b c (Å): 6.1870 6.1870 4.4512
angles (deg): 90.00 90.00 90.00
Fractional coordinates of all 5 atoms:
1 Ba 0.0000 0.5000 0.0000
2 Ba 0.5000 0.0000 0.0000
3 Na 0.0000 0.0000 0.5000
4 Si 0.5000 0.5000 0.5000
5 Ni 0.5000 0.5000 0.0000

Summary:
Mass density, Mg/m³: 3.75
ΔE_f (raw), eV/atom: -0.14
DFT total energy, eV per atom: -3.410
Symmetry: P4/mmm, No. 123

***

No. 2
Here is a relaxed BaNaSiNi crystal from Alexandria via LeMat-Bulk. Energies are from PBE-GGA.

a b c (Å): 4.1886 4.1886 12.9273
angles (deg): 90.00 90.00 90.00
Fractional coordinates of all 8 atoms:
1 Ba 0.2500 0.2500 0.2097
2 Ba 0.7500 0.7500 0.7903
3 Na 0.2500 0.7500 0.5000
4 Na 0.7500 0.2500 0.5000
5 Si 0.2500 0.2500 0.9224
6 Si 0.7500 0.7500 0.0776
7 Ni 0.2500 0.7500 0.0000
8 Ni 0.7500 0.2500 0.0000

Summary:
Mass density, Mg/m³: 3.62
ΔE_f (raw), eV/atom: -0.30
DFT total energy, eV per atom: -3.909
Symmetry: P4/nmm, No. 129

***

No. 3
Here is a relaxed Ba2NaNiSn crystal from Alexandria via LeMat-Bulk. Energies are from PBE-GGA.

a b c (Å): 6.1898 6.1898 4.9102
angles (deg): 90.00 90.00 90.00
Fractional coordinates of all 5 atoms:
1 Ba 0.0000 0.5000 0.0000
2 Ba 0.5000 0.0000 0.0000
3 Na 0.0000 0.0000 0.5000
4 Ni 0.5000 0.5000 0.0000
5 Sn 0.5000 0.5000 0.5000

Summary:
Mass density, Mg/m³: 4.19
DFT total energy, eV per atom: -3.206
Symmetry: P4/mmm, No. 123

***

No. 4
Here is a relaxed BaNaSr6Ni crystal from Alexandria via LeMat-Bulk. Energies are from PBE-GGA.

a b c (Å): 7.4073 7.4265 8.4734
angles (deg): 89.18 72.32 81.01
Fractional coordinates of all 9 atoms:
1 Ba 0.0000 0.0000 0.0000
2 Na 0.0048 0.9888 0.4968
3 Sr 0.0054 0.4937 0.7489
4 Sr 0.5029 0.2405 0.3650
5 Sr 0.5047 0.7266 0.1211
6 Sr 0.5110 0.7503 0.6169
7 Sr 0.5206 0.2498 0.8664
8 Sr 0.9914 0.4861 0.2479
9 Ni 0.7550 0.3687 0.0584

Summary:
Mass density, Mg/m³: 2.82
DFT total energy, eV per atom: -2.134
Symmetry: P1, No. 1

***

No. 5
Here is a relaxed Ba2NaSrNi crystal from Alexandria via LeMat-Bulk. Energies are from PBE-GGA.

a b c (Å): 6.0406 6.0406 6.1389
angles (deg): 90.00 90.00 90.00
Fractional coordinates of all 5 atoms:
1 Ba 0.0000 0.5000 0.0000
2 Ba 0.5000 0.0000 0.0000
3 Na 0.0000 0.0000 0.5000
4 Sr 0.5000 0.5000 0.5000
5 Ni 0.0000 0.0000 0.0000

Summary:
Mass density, Mg/m³: 3.29
DFT total energy, eV per atom: -2.372
Symmetry: P4/mmm, No. 123

***

No. 6
Here is a relaxed Ba2NaSrNi crystal from Alexandria via LeMat-Bulk. Energies are from PBE-GGA.

a b c (Å): 6.1603 6.1603 6.0143
angles (deg): 90.00 90.00 90.00
Fractional coordinates of all 5 atoms:
1 Ba 0.0000 0.5000 0.0000
2 Ba 0.5000 0.0000 0.0000
3 Na 0.0000 0.0000 0.5000
4 Sr 0.5000 0.5000 0.5000
5 Ni 0.5000 0.5000 0.0000

Summary:
Mass density, Mg/m³: 3.23
DFT total energy, eV per atom: -2.528
Symmetry: P4/mmm, No. 123

***

No. 7
Here is a relaxed BaNaTl2Ni crystal from Alexandria via LeMat-Bulk. Energies are from PBE-GGA.

a b c (Å): 5.1743 5.1743 5.4340
angles (deg): 90.00 90.00 90.00
Fractional coordinates of all 5 atoms:
1 Ba 0.0000 0.0000 0.0000
2 Na 0.5000 0.5000 0.0000
3 Tl 0.0000 0.5000 0.5000
4 Tl 0.5000 0.0000 0.5000
5 Ni 0.5000 0.5000 0.5000

Summary:
Mass density, Mg/m³: 7.17
DFT total energy, eV per atom: -2.822
Symmetry: P4/mmm, No. 123

***

No. 8
Here is a relaxed Ba2NaTlNi crystal from Alexandria via LeMat-Bulk. Energies are from PBE-GGA.

a b c (Å): 5.9739 5.9739 5.4200
angles (deg): 90.00 90.00 90.00
Fractional coordinates of all 5 atoms:
1 Ba 0.0000 0.5000 0.0000
2 Ba 0.5000 0.0000 0.0000
3 Na 0.0000 0.0000 0.5000
4 Tl 0.5000 0.5000 0.5000
5 Ni 0.0000 0.0000 0.0000

Summary:
Mass density, Mg/m³: 4.81
DFT total energy, eV per atom: -2.606
Symmetry: P4/mmm, No. 123